1.
A plane-wave DFT calculation with PBE was carried out for a relaxed LiTmZrIr crystal.

abc: 6.7323 6.7323 6.7323
angles: 90.00 90.00 90.00
Last column: nearest neighbours and their distance in Å.
Space group F-43m (No. 216)
Inequivalent atoms, fractional coordinates:
Li1 0.0000 0.0000 0.0000 x4  4 Zr 2.92, 4 Tm 2.92
Tm1 0.2500 0.2500 0.7500 x4  4 Li 2.92, 4 Ir 2.92
Zr1 0.2500 0.2500 0.2500 x4  4 Ir 2.92, 4 Li 2.92
Ir1 0.0000 0.0000 0.5000 x4  4 Tm 2.92, 4 Zr 2.92

The calculation puts the total DFT energy (no corrections) at -6.48 eV/atom. For the density, the calculation gives 9.999 g cm⁻³.

***

2.
A plane-wave DFT calculation with PBE was carried out for a relaxed LiUIr2 crystal.

abc: 3.4112 3.4112 5.7792
angles: 90.00 90.00 90.00
Last column: nearest neighbours and their distance in Å.
Space group P4/mmm (No. 123)
Inequivalent atoms, fractional coordinates:
Li1 0.0000 0.0000 0.0000 x1  8 Ir 2.78, 2 U 2.89
U1 0.0000 0.0000 0.5000 x1  8 Ir 2.84, 2 Li 2.89
Ir1 0.5000 0.5000 0.2407 x2  2 Ir 2.78-3.00, 4 Li 2.78, 4 U 2.84

The calculation puts the total DFT energy (no corrections) at -8.13 eV/atom. For the density, the calculation gives 15.542 g cm⁻³.

***

3.
A plane-wave DFT calculation with PBE was carried out for a relaxed LiUIr2 crystal.

abc: 3.9906 3.9906 14.6680
angles: 90.00 90.00 120.00
Last column: nearest neighbours and their distance in Å.
Space group R-3m (No. 166, hexagonal axes)
Inequivalent atoms, fractional coordinates:
Li1 0.0000 0.0000 0.0000 x3  6 Ir 2.47
U1 0.0000 0.0000 0.5000 x3  6 Ir 2.78
Ir1 0.0000 0.0000 0.2728 x6  3 Li 2.47

The calculation puts the total DFT energy (no corrections) at -8.03 eV/atom. For the density, the calculation gives 15.499 g cm⁻³.

***

4.
A plane-wave DFT calculation with PBE was carried out for a relaxed LiUIr2 crystal.

abc: 4.1643 4.1643 3.7770
angles: 90.00 90.00 90.00
Last column: nearest neighbours and their distance in Å.
Space group P4/mmm (No. 123)
Inequivalent atoms, fractional coordinates:
Li1 0.0000 0.0000 0.0000 x1  8 Ir 2.81, 4 U 2.94
U1 0.5000 0.5000 0.0000 x1  8 Ir 2.81, 4 Li 2.94
Ir1 0.0000 0.5000 0.5000 x2  4 U 2.81, 4 Li 2.81, 4 Ir 2.94

The calculation puts the total DFT energy (no corrections) at -8.19 eV/atom. For the density, the calculation gives 15.957 g cm⁻³.